[1]
## ThNi4Se2 (PBE)

Data for a relaxed structure of ThNi4Se2.

Cell: 5.8172 5.8172 7.3321 Å, 90.00 90.00 90.00°
Space group I4/mmm (No. 139)
Asymmetric unit:
Th 0.0000 0.0000 0.0000 (multiplicity 2)
Ni 0.0000 0.2805 0.5000 (multiplicity 8)
Se 0.0000 0.5000 0.2500 (multiplicity 4)

**E**: -5.44 eV/atom

---

[2]
## ZrPPtO (PBE)

Data for a relaxed structure of ZrPPtO.

Cell: 3.5125 6.4538 6.5659 Å, 90.00 90.00 90.00°
Space group Pmc2_1 (No. 26)
Asymmetric unit:
Zr 0.0000 0.1374 0.0000 (multiplicity 2)
P 0.0000 0.2546 0.3865 (multiplicity 2)
Pt 0.5000 0.2305 0.6121 (multiplicity 2)
O 0.5000 0.2832 0.9476 (multiplicity 2)

**E**: -7.50 eV/atom

---

[3]
## LiZr3As5 (PBE)

Data for a relaxed structure of LiZr3As5.

Cell: 6.2198 6.2198 6.3742 Å, 90.00 90.00 120.00°
Space group P6/mmm (No. 191)
Asymmetric unit:
Li 0.0000 0.0000 0.0000 (multiplicity 1)
Zr 0.0000 0.5000 0.5000 (multiplicity 3)
As 0.0000 0.0000 0.5000 (multiplicity 1)
As 0.3333 0.6667 0.1877 (multiplicity 4)

**E**: -6.11 eV/atom

---

Calculated calculated volume (A^3/atom), listed in the same order as above: 17.72 18.61 23.73
Calculated total magnetization (μB per cell), listed in the same order as above: 0.006 0.005 0.004